A relaxed structure of NaAcPbO. Source: Alexandria via LeMat-Bulk, functional PBE.

Calculated values
DFT total energy: -19.5 eV for the cell shown
ΔE_f (raw): -525 kJ/mol of formula units

The structure in extended XYZ format:
```
4
Lattice="-1.776 1.776 7.991 1.776 -1.776 7.991 1.776 1.776 -7.991" Properties=species:S:1:pos:R:3 pbc="T T T"
Na 0.000 0.000 0.000
Ac 0.000 0.000 11.061
Pb 0.000 0.000 5.904
O 0.000 0.000 2.353
```

A relaxed structure of LiTaNbCd2. Source: Alexandria via LeMat-Bulk, functional PBE.

Calculated values
formation enthalpy at 0 K: 4.06 eV per formula unit
DFT total energy: -21.6 eV for the cell shown

The structure in extended XYZ format:
```
5
Lattice="4.364 0.000 0.000 0.000 4.364 0.000 0.000 0.000 4.761" Properties=species:S:1:pos:R:3 pbc="T T T"
Li 0.000 0.000 0.000
Ta 2.182 2.182 2.380
Nb 0.000 0.000 2.380
Cd 0.000 2.182 0.000
Cd 2.182 0.000 0.000
```

A relaxed structure of ScAlPb2. Source: Alexandria via LeMat-Bulk, functional PBE.

Calculated values
formation enthalpy at 0 K: -0.35 eV per formula unit
DFT total energy: -17.8 eV for the cell shown

The structure in extended XYZ format:
```
4
Lattice="-2.183 2.183 5.071 2.183 -2.183 5.071 2.183 2.183 -5.071" Properties=species:S:1:pos:R:3 pbc="T T T"
Sc 0.000 0.000 0.000
Al 0.000 2.183 2.536
Pb 2.183 0.000 2.536
Pb 0.000 0.000 5.071
```

A relaxed structure of ZnCu2Sb2. Source: Alexandria via LeMat-Bulk, functional PBE.

Calculated values
DFT total energy: -33.8 eV for the cell shown
ΔE_f (raw): 80 kJ/mol of formula units

The structure in extended XYZ format:
```
10
Lattice="6.912 0.000 0.000 0.000 6.912 0.000 0.000 0.000 3.924" Properties=species:S:1:pos:R:3 pbc="T T T"
Zn 0.000 0.000 0.000
Zn 3.456 3.456 0.000
Cu 0.888 2.568 0.000
Cu 2.568 6.024 0.000
Cu 4.344 0.888 0.000
Cu 6.024 4.344 0.000
Sb 1.229 4.685 1.962
Sb 2.227 1.229 1.962
Sb 4.685 5.683 1.962
Sb 5.683 2.227 1.962
```

A relaxed structure of Mg2As2Br. Source: Alexandria via LeMat-Bulk, functional PBE.

Calculated values
DFT total energy: -16.6 eV for the cell shown
ΔE_f (raw): -234 kJ/mol of formula units

The structure in extended XYZ format:
```
5
Lattice="-2.534 2.534 4.528 2.534 -2.534 4.528 2.534 2.534 -4.528" Properties=species:S:1:pos:R:3 pbc="T T T"
Mg 2.534 0.000 2.264
Mg 0.000 2.534 2.264
As 0.000 0.000 1.192
As 0.000 0.000 7.865
Br 0.000 0.000 4.528
```

A relaxed structure of Dy2HgSb. Source: Alexandria via LeMat-Bulk, functional PBE.

Calculated values
DFT total energy: -16.1 eV for the cell shown
ΔE_f (raw): -241 kJ/mol of formula units

The structure in extended XYZ format:
```
4
Lattice="2.097 1.211 7.785 -2.097 1.211 7.785 0.000 -2.421 7.785" Properties=species:S:1:pos:R:3 pbc="T T T"
Dy 0.000 0.000 0.000
Dy 0.000 0.000 4.102
Hg 0.000 0.000 9.810
Sb 0.000 0.000 13.743
```

A relaxed structure of NiOsCl. Source: Alexandria via LeMat-Bulk, functional PBE.

Calculated values
DFT total energy: -16.7 eV for the cell shown
ΔE_f (raw): 205 kJ/mol of formula units

The structure in extended XYZ format:
```
3
Lattice="0.000 2.548 6.168 1.397 0.000 6.168 1.397 2.548 0.000" Properties=species:S:1:pos:R:3 pbc="T T T"
Ni 0.000 0.000 0.000
Os 1.397 2.548 4.186
Cl 1.397 2.548 8.097
```

A relaxed structure of K3BO3. Source: Alexandria via LeMat-Bulk, functional PBE.

Calculated values
DFT total energy: -37.8 eV for the cell shown
ΔE_f (raw): -1248 kJ/mol of formula units

The structure in extended XYZ format:
```
7
Lattice="5.071 2.928 1.488 -5.071 2.928 1.488 0.000 -5.855 1.488" Properties=species:S:1:pos:R:3 pbc="T T T"
K -2.448 -1.413 1.488
K 2.448 -1.413 1.488
K 0.000 2.827 1.488
B 0.000 0.000 3.686
O -1.221 -0.705 3.668
O 1.221 -0.705 3.668
O 0.000 1.410 3.668
```

A relaxed structure of CaTi2H. Source: Alexandria via LeMat-Bulk, functional PBE.

Calculated values
DFT total energy: -15.9 eV for the cell shown

The structure in extended XYZ format:
```
4
Lattice="0.000 3.318 3.318 3.318 0.000 3.318 3.318 3.318 0.000" Properties=species:S:1:pos:R:3 pbc="T T T"
Ca 0.000 0.000 0.000
Ti 1.659 1.659 1.659
Ti 4.977 4.977 4.977
H 3.318 3.318 3.318
```

A relaxed structure of AcMgAl2Zn2. Source: Alexandria via LeMat-Bulk, functional PBE.

Calculated values
formation enthalpy at 0 K: -1.68 eV per formula unit
DFT total energy: -17.4 eV for the cell shown

The structure in extended XYZ format:
```
6
Lattice="4.485 0.000 0.000 -2.243 3.884 0.000 0.000 0.000 7.504" Properties=species:S:1:pos:R:3 pbc="T T T"
Ac 0.000 0.000 0.000
Mg 0.000 0.000 3.752
Al 0.000 2.589 2.222
Al 2.243 1.295 5.281
Zn 0.000 2.589 5.244
Zn 2.243 1.295 2.259
```

A relaxed structure of MgSiAu2. Source: Alexandria via LeMat-Bulk, functional PBE.

Calculated values
DFT total energy: -14.5 eV for the cell shown
ΔE_f (raw): -93 kJ/mol of formula units

The structure in extended XYZ format:
```
4
Lattice="3.070 0.000 0.000 0.000 4.674 0.000 0.000 0.000 5.069" Properties=species:S:1:pos:R:3 pbc="T T T"
Mg 0.000 0.000 0.000
Si 1.535 2.337 3.501
Au 1.535 0.000 2.605
Au 1.535 2.337 0.887
```

A relaxed structure of Sc2TiGa9. Source: Alexandria via LeMat-Bulk, functional PBE.

Calculated values
formation enthalpy at 0 K: -5.31 eV per formula unit
DFT total energy: -53.1 eV for the cell shown

The structure in extended XYZ format:
```
12
Lattice="4.087 0.000 0.000 0.000 4.087 0.000 0.000 0.000 12.167" Properties=species:S:1:pos:R:3 pbc="T T T"
Sc 0.000 0.000 2.089
Sc 0.000 0.000 10.078
Ti 0.000 0.000 6.084
Ga 0.000 2.043 0.000
Ga 0.000 2.043 4.137
Ga 0.000 2.043 8.030
Ga 2.043 0.000 0.000
Ga 2.043 0.000 4.137
Ga 2.043 0.000 8.030
Ga 2.043 2.043 2.044
Ga 2.043 2.043 6.084
Ga 2.043 2.043 10.123
```

A relaxed structure of La8Ir2Ru3. Source: Alexandria via LeMat-Bulk, functional PBE.

Calculated values
formation enthalpy at 0 K: -5.34 eV per formula unit
DFT total energy: -90.3 eV for the cell shown

The structure in extended XYZ format:
```
13
Lattice="6.478 -4.250 0.000 6.478 4.250 0.000 -0.022 0.000 7.123" Properties=species:S:1:pos:R:3 pbc="T T T"
La 1.451 0.000 2.364
La 4.830 2.117 1.178
La 8.102 2.117 5.945
La 4.908 0.000 4.710
La 8.024 0.000 2.413
La 4.830 -2.117 1.178
La 8.102 -2.117 5.945
La 11.482 0.000 4.759
Ir 3.156 0.000 7.096
Ir 9.777 0.000 0.027
Ru 0.000 0.000 0.000
Ru 6.466 1.976 3.562
Ru 6.466 -1.976 3.562
```

A relaxed structure of TeHOsN2. Source: Alexandria via LeMat-Bulk, functional PBE.

Calculated values
DFT total energy: -23.2 eV for the cell shown

The structure in extended XYZ format:
```
5
Lattice="4.021 0.000 0.000 0.000 4.021 0.000 0.000 0.000 3.378" Properties=species:S:1:pos:R:3 pbc="T T T"
Te 0.000 0.000 0.000
H 0.000 0.000 1.689
Os 2.010 2.010 0.000
N 0.000 2.010 1.689
N 2.010 0.000 1.689
```

A relaxed structure of SnHg3Cl. Source: Alexandria via LeMat-Bulk, functional PBE.

Calculated values
DFT total energy: -4.7 eV for the cell shown
ΔE_f (raw): 194 kJ/mol of formula units

The structure in extended XYZ format:
```
5
Lattice="5.576 0.000 0.000 0.000 5.576 0.000 0.000 0.000 5.576" Properties=species:S:1:pos:R:3 pbc="T T T"
Sn 0.000 0.000 0.000
Hg 0.000 2.788 2.788
Hg 2.788 0.000 2.788
Hg 2.788 2.788 0.000
Cl 2.788 2.788 2.788
```

A relaxed structure of Ba2ErPt3O12. Source: Alexandria via LeMat-Bulk, functional PBE.

Calculated values
DFT total energy: -109.4 eV for the cell shown
ΔE_f (raw): -2252 kJ/mol of formula units

The structure in extended XYZ format:
```
18
Lattice="3.650 2.108 5.748 -3.650 2.108 5.748 0.000 -4.215 5.748" Properties=species:S:1:pos:R:3 pbc="T T T"
Ba 0.000 0.000 1.995
Ba 0.000 0.000 15.249
Er 0.000 0.000 8.622
Pt -1.825 -1.054 5.748
Pt -1.825 1.054 11.496
Pt 0.000 2.108 5.748
O -1.809 -1.045 7.706
O 0.000 -1.822 5.767
O -1.578 0.911 5.767
O -1.578 -0.911 11.477
O 0.000 -2.089 9.538
O -1.809 1.045 9.538
O 1.809 -1.045 7.706
O 0.000 2.089 7.706
O 1.578 0.911 5.767
O 1.578 -0.911 11.477
O 0.000 1.822 11.477
O 1.809 1.045 9.538
```

A relaxed structure of La9Pr2Y. Source: Alexandria via LeMat-Bulk, functional PBE.

Calculated values
formation enthalpy at 0 K: 0.05 eV per formula unit
DFT total energy: -60.3 eV for the cell shown

The structure in extended XYZ format:
```
12
Lattice="5.243 0.000 0.000 0.000 5.243 0.000 0.000 0.000 15.732" Properties=species:S:1:pos:R:3 pbc="T T T"
La 0.000 0.000 0.000
La 0.000 0.000 5.236
La 0.000 0.000 10.496
La 0.000 2.621 2.606
La 0.000 2.621 7.866
La 0.000 2.621 13.126
La 2.621 0.000 2.606
La 2.621 0.000 7.866
La 2.621 0.000 13.126
Pr 2.621 2.621 5.226
Pr 2.621 2.621 10.506
Y 2.621 2.621 0.000
```

A relaxed structure of BaVZn. Source: Alexandria via LeMat-Bulk, functional PBE.

Calculated values
formation enthalpy at 0 K: 0.93 eV per formula unit
DFT total energy: -22.8 eV for the cell shown

The structure in extended XYZ format:
```
6
Lattice="9.290 -2.266 0.000 9.290 2.266 0.000 -0.839 0.000 4.154" Properties=species:S:1:pos:R:3 pbc="T T T"
Ba 0.000 0.000 0.000
Ba 12.084 0.000 2.740
V 4.913 0.000 0.894
V 5.378 0.000 3.665
Zn 7.463 0.000 1.874
Zn 15.313 0.000 1.422
```

A relaxed structure of CeAl2Pd. Source: Alexandria via LeMat-Bulk, functional PBE.

Calculated values
formation enthalpy at 0 K: -2.48 eV per formula unit
DFT total energy: -21.1 eV for the cell shown

The structure in extended XYZ format:
```
4
Lattice="3.128 0.000 0.000 0.000 3.128 0.000 0.000 0.000 7.575" Properties=species:S:1:pos:R:3 pbc="T T T"
Ce 0.000 0.000 0.000
Al 1.564 1.564 2.311
Al 1.564 1.564 5.264
Pd 0.000 0.000 3.787
```

A relaxed structure of Rb3As2Au2. Source: Alexandria via LeMat-Bulk, functional PBE.

Calculated values
formation enthalpy at 0 K: -2.12 eV per formula unit
DFT total energy: -20.9 eV for the cell shown

The structure in extended XYZ format:
```
7
Lattice="6.246 -2.515 0.000 6.246 2.515 0.000 -3.482 0.000 7.645" Properties=species:S:1:pos:R:3 pbc="T T T"
Rb 0.000 0.000 0.000
Rb 0.226 0.000 4.807
Rb 8.785 0.000 2.839
As 3.953 0.000 4.892
As 5.059 0.000 2.753
Au 3.546 0.000 0.640
Au 5.465 0.000 7.005
```

A relaxed structure of BaMnW2. Source: Alexandria via LeMat-Bulk, functional PBE.

Calculated values
formation enthalpy at 0 K: 3.28 eV per formula unit
DFT total energy: -33.7 eV for the cell shown

The structure in extended XYZ format:
```
4
Lattice="2.086 1.204 6.478 -2.086 1.204 6.478 0.000 -2.408 6.478" Properties=species:S:1:pos:R:3 pbc="T T T"
Ba 0.000 0.000 0.000
Mn 0.000 0.000 9.716
W 0.000 0.000 3.847
W 0.000 0.000 15.586
```

A relaxed structure of UPa8Ga2. Source: Alexandria via LeMat-Bulk, functional PBE.

Calculated values
formation enthalpy at 0 K: 0.68 eV per formula unit
DFT total energy: -92.6 eV for the cell shown

The structure in extended XYZ format:
```
11
Lattice="6.085 0.000 0.000 -3.042 5.270 0.000 0.000 0.000 8.194" Properties=species:S:1:pos:R:3 pbc="T T T"
U 0.000 0.000 0.000
Pa 0.000 1.786 5.750
Pa -1.496 4.377 5.750
Pa 0.000 3.513 0.331
Pa 1.547 0.893 2.444
Pa 1.496 4.377 5.750
Pa 3.042 1.757 7.863
Pa 4.538 0.893 2.444
Pa 3.042 3.484 2.444
Ga 0.000 3.513 3.243
Ga 3.042 1.757 4.952
```

A relaxed structure of Rb3Ag2SbI9. Source: Alexandria via LeMat-Bulk, functional PBE.

Calculated values
DFT total energy: -37.5 eV for the cell shown
ΔE_f (raw): -1043 kJ/mol of formula units

The structure in extended XYZ format:
```
15
Lattice="8.415 0.000 0.000 -4.207 7.287 0.000 0.000 0.000 10.399" Properties=species:S:1:pos:R:3 pbc="T T T"
Rb 0.000 0.000 0.000
Rb 0.000 4.858 7.205
Rb 4.207 2.429 3.194
Ag 0.000 4.858 1.618
Ag 4.207 2.429 8.781
Sb 0.000 0.000 5.200
I -2.104 3.644 0.000
I 0.000 2.447 3.446
I -2.088 6.064 3.446
I 2.119 1.224 6.954
I 4.207 0.000 0.000
I 2.104 3.644 0.000
I 2.088 6.064 3.446
I 6.295 1.224 6.954
I 4.207 4.840 6.954
```

A relaxed structure of AcPaIr2. Source: Alexandria via LeMat-Bulk, functional PBE.

Calculated values
formation enthalpy at 0 K: -3.20 eV per formula unit
DFT total energy: -69.1 eV for the cell shown

The structure in extended XYZ format:
```
8
Lattice="4.432 0.000 0.000 0.000 5.836 0.000 0.000 0.000 7.881" Properties=species:S:1:pos:R:3 pbc="T T T"
Ac 1.108 1.459 0.694
Ac 3.324 4.377 7.186
Pa 1.108 4.377 3.352
Pa 3.324 1.459 4.529
Ir 1.108 0.043 5.658
Ir 1.108 2.875 5.658
Ir 3.324 2.961 2.223
Ir 3.324 5.794 2.223
```

A relaxed structure of Sn2AsI8. Source: Alexandria via LeMat-Bulk, functional PBE.

Calculated values
DFT total energy: -27.8 eV for the cell shown
ΔE_f (raw): -264 kJ/mol of formula units

The structure in extended XYZ format:
```
11
Lattice="7.639 -4.206 0.000 7.639 4.206 0.000 -0.187 0.000 7.740" Properties=species:S:1:pos:R:3 pbc="T T T"
Sn 1.886 0.000 3.808
Sn 13.205 0.000 3.932
As 0.000 0.000 0.000
I 2.570 0.000 6.813
I 6.751 2.114 5.890
I 8.340 2.114 1.850
I 4.566 0.000 2.941
I 10.525 0.000 4.799
I 6.751 -2.114 5.890
I 8.340 -2.114 1.850
I 12.520 0.000 0.926
```